--- w ---
Here is an optimized crystal structure of ThTeS from the Alexandria database. Energies are from PBE.

Values from the calculation:
The calculation puts the density of states at the Fermi level at 0.128 states/eV per cell. The size of the total moment comes out at 0.000 Bohr magnetons per cell. The theoretical density is 7.7 g/cm³.

abc: 4.7018 4.7018 4.4109
angles: 90.00 90.00 120.00
Space group P-6m2 (No. 187)
Symmetry-distinct sites (fractional):
Th: 0.0000 0.0000 0.0000 x1
Te: 0.3333 0.6667 0.5000 x1
S: 0.6667 0.3333 0.0000 x1

--- x ---
Here is an optimized crystal structure of ThTeS from the Alexandria database. Energies are from PBE.

Values from the calculation:
The calculation puts the density of states at the Fermi level at 0.047 states/eV per cell. The size of the total moment comes out at 0.000 Bohr magnetons per cell. The theoretical density is 8.0 g/cm³.

abc: 4.5320 4.5320 7.9539
angles: 90.00 90.00 90.00
Space group P4/nmm (No. 129, origin choice 2)
Symmetry-distinct sites (fractional):
Th: 0.2500 0.2500 0.2132 x2
Te: 0.2500 0.2500 0.6289 x2
S: 0.2500 0.7500 0.0000 x2

--- y ---
Here is an optimized crystal structure of ThTeS from the Alexandria database. Energies are from PBE.

Values from the calculation:
The calculation puts the density of states at the Fermi level at 1.614 states/eV per cell. The size of the total moment comes out at 0.000 Bohr magnetons per cell. The theoretical density is 8.1 g/cm³.

abc: 4.4046 4.4046 16.5746
angles: 90.00 90.00 90.00
Space group I4/mmm (No. 139)
Symmetry-distinct sites (fractional):
Th: 0.0000 0.0000 0.1104 x4
Te: 0.0000 0.0000 0.3142 x4
S: 0.0000 0.5000 0.0000 x4

The winner here is x, beating the second structure by 0.165 eV/atom.

--- w ---
Here is an optimized crystal structure of TiTe3S from the Alexandria database. Energies are from PBE.

Values from the calculation:
The calculation puts the density of states at the Fermi level at 13.715 states/eV per cell. The size of the total moment comes out at 0.000 Bohr magnetons per cell. The theoretical density is 5.6 g/cm³.

abc: 5.1715 5.1715 5.1715
angles: 90.00 90.00 90.00
Space group Pm-3m (No. 221)
Symmetry-distinct sites (fractional):
Ti: 0.0000 0.0000 0.0000 x1
Te: 0.0000 0.5000 0.5000 x3
S: 0.5000 0.5000 0.5000 x1

--- x ---
Here is an optimized crystal structure of TiTe3S from the Alexandria database. Energies are from PBE.

Values from the calculation:
The calculation puts the density of states at the Fermi level at 6.606 states/eV per cell. The size of the total moment comes out at 0.000 Bohr magnetons per cell. The theoretical density is 5.3 g/cm³.

abc: 5.2371 5.2371 5.2371
angles: 90.00 90.00 90.00
Space group Pm-3m (No. 221)
Symmetry-distinct sites (fractional):
Ti: 0.0000 0.0000 0.0000 x1
Te: 0.0000 0.0000 0.5000 x3
S: 0.5000 0.5000 0.5000 x1

The winner here is x, beating the second structure by 0.368 eV/atom.

--- w ---
Here is an optimized crystal structure of Ti2TeS2 from the Alexandria database. Energies are from PBE.

Values from the calculation:
The calculation puts the density of states at the Fermi level at 6.526 states/eV per cell. The size of the total moment comes out at 0.000 Bohr magnetons per cell. The theoretical density is 4.7 g/cm³.

abc: 3.5589 4.7997 11.9363
angles: 90.00 90.00 90.00
Space group Immm (No. 71)
Symmetry-distinct sites (fractional):
Ti: 0.0000 0.0000 0.1862 x4
Te: 0.0000 0.5000 0.5000 x2
S: 0.0000 0.5000 0.1731 x4

--- x ---
Here is an optimized crystal structure of Ti2TeS2 from the Alexandria database. Energies are from PBE.

Values from the calculation:
The calculation puts the density of states at the Fermi level at 5.182 states/eV per cell. The size of the total moment comes out at 0.000 Bohr magnetons per cell. The theoretical density is 5.0 g/cm³.

abc: 4.0834 4.0834 11.5423
angles: 90.00 90.00 90.00
Space group I4/mmm (No. 139)
Symmetry-distinct sites (fractional):
Ti: 0.0000 0.0000 0.1314 x4
Te: 0.0000 0.0000 0.5000 x2
S: 0.0000 0.5000 0.2500 x4

--- y ---
Here is an optimized crystal structure of Ti2TeS2 from the Alexandria database. Energies are from PBE.

Values from the calculation:
The calculation puts the density of states at the Fermi level at 5.131 states/eV per cell. The size of the total moment comes out at 0.000 Bohr magnetons per cell. The theoretical density is 5.4 g/cm³.

abc: 7.4089 7.4089 3.2051
angles: 90.00 90.00 90.00
Space group P4/mbm (No. 127)
Symmetry-distinct sites (fractional):
Ti: 0.1328 0.3672 0.0000 x4
Te: 0.0000 0.0000 0.0000 x2
S: 0.1339 0.6339 0.5000 x4

The winner here is w, beating the second structure by 0.229 eV/atom.

--- w ---
Here is an optimized crystal structure of TlTe2S2 from the Alexandria database. Energies are from PBE.

Values from the calculation:
The calculation puts the density of states at the Fermi level at 4.191 states/eV per cell. The size of the total moment comes out at 0.000 Bohr magnetons per cell. The theoretical density is 6.2 g/cm³.

abc: 9.0314 9.0314 3.4278
angles: 90.00 90.00 90.00
Space group P4/mbm (No. 127)
Symmetry-distinct sites (fractional):
Tl: 0.0000 0.0000 0.0000 x2
Te: 0.2393 0.2607 0.5000 x4
S: 0.1104 0.6104 0.0000 x4

--- x ---
Here is an optimized crystal structure of TlTe2S2 from the Alexandria database. Energies are from PBE.

Values from the calculation:
The calculation puts the density of states at the Fermi level at 4.535 states/eV per cell. The size of the total moment comes out at 0.000 Bohr magnetons per cell. The theoretical density is 5.3 g/cm³.

abc: 5.4325 5.4325 11.1817
angles: 90.00 90.00 90.00
Space group I4/mmm (No. 139)
Symmetry-distinct sites (fractional):
Tl: 0.0000 0.0000 0.0000 x2
Te: 0.0000 0.0000 0.2995 x4
S: 0.0000 0.5000 0.2500 x4

The winner here is x, beating the second structure by 0.041 eV/atom.

--- w ---
Here is an optimized crystal structure of Tl3TeS3 from the Alexandria database. Energies are from PBE.

Values from the calculation:
The calculation puts the density of states at the Fermi level at 2.588 states/eV per cell. The size of the total moment comes out at 0.000 Bohr magnetons per cell. The theoretical density is 6.2 g/cm³.

abc: 15.0465 8.2598 8.4664
angles: 90.00 121.85 90.00
Space group C2/m (No. 12)
Symmetry-distinct sites (fractional):
Tl: 0.0000 0.2477 0.0000 x4
Tl: 0.0000 0.2506 0.5000 x4
Tl: 0.2451 0.0000 0.9895 x4
Te: 0.2467 0.0000 0.4662 x4
S: 0.0240 0.0000 0.7715 x4
S: 0.2384 0.2213 0.2725 x8

--- x ---
Here is an optimized crystal structure of Tl3TeS3 from the Alexandria database. Energies are from PBE.

Values from the calculation:
The calculation puts the density of states at the Fermi level at 26.902 states/eV per cell. The size of the total moment comes out at 0.111 Bohr magnetons per cell. The theoretical density is 5.7 g/cm³.

abc: 9.2889 16.0999 6.5538
angles: 90.00 90.00 90.00
Space group Cmcm (No. 63)
Symmetry-distinct sites (fractional):
Tl: 0.0000 0.1947 0.2500 x4
Tl: 0.2074 0.4028 0.2500 x8
Te: 0.0000 0.3331 0.7500 x4
S: 0.0000 0.1751 0.7500 x4
S: 0.2363 0.4125 0.7500 x8

The winner here is w, beating the second structure by 0.103 eV/atom.

--- w ---
Here is an optimized crystal structure of Tl2TeS4 from the Alexandria database. Energies are from PBE.

Values from the calculation:
The size of the total moment comes out at 0.000 Bohr magnetons per cell. The theoretical density is 4.6 g/cm³.

abc: 8.6121 12.4496 9.8275
angles: 90.00 115.46 90.00
Space group C2/c (No. 15)
Symmetry-distinct sites (fractional):
Tl: 0.0000 0.0536 0.2500 x4
Tl: 0.0000 0.3049 0.7500 x4
Te: 0.0000 0.3741 0.2500 x4
S: 0.0800 0.2606 0.1031 x8
S: 0.2231 0.4874 0.3996 x8

--- x ---
Here is an optimized crystal structure of Tl2TeS4 from the Alexandria database. Energies are from PBE.

Values from the calculation:
The calculation puts the density of states at the Fermi level at 4.988 states/eV per cell. The size of the total moment comes out at 0.000 Bohr magnetons per cell. The theoretical density is 5.7 g/cm³.

abc: 8.3172 11.6589 3.9754
angles: 90.00 90.00 90.00
Space group Pbam (No. 55)
Symmetry-distinct sites (fractional):
Tl: 0.2458 0.2479 0.0000 x4
Te: 0.0000 0.5000 0.5000 x2
S: 0.0038 0.7337 0.5000 x4
S: 0.2242 0.4982 0.0000 x4

--- y ---
Here is an optimized crystal structure of Tl2TeS4 from the Alexandria database. Energies are from PBE.

Values from the calculation:
The calculation puts the density of states at the Fermi level at 13.099 states/eV per cell. The size of the total moment comes out at 0.000 Bohr magnetons per cell. The theoretical density is 5.7 g/cm³.

abc: 5.2049 5.2049 14.3069
angles: 90.00 90.00 90.00
Space group I4/mmm (No. 139)
Symmetry-distinct sites (fractional):
Tl: 0.0000 0.0000 0.1329 x4
Te: 0.0000 0.0000 0.5000 x2
S: 0.0000 0.0000 0.3273 x4
S: 0.0000 0.5000 0.0000 x4

The winner here is x, beating the second structure by 0.030 eV/atom.

--- w ---
Here is an optimized crystal structure of Tl2Te2S3 from the Alexandria database. Energies are from PBE.

Values from the calculation:
The calculation puts the density of states at the Fermi level at 0.678 states/eV per cell. The size of the total moment comes out at 0.000 Bohr magnetons per cell. The theoretical density is 5.6 g/cm³.

abc: 5.5503 6.3583 6.7994
angles: 74.33 84.48 79.92
Space group P-1 (No. 2)
Symmetry-distinct sites (fractional):
Tl: 0.0236 0.2507 0.2139 x2
Te: 0.4767 0.6823 0.3114 x2
S: 0.1149 0.2444 0.7356 x2
S: 0.5000 0.5000 0.0000 x1

--- x ---
Here is an optimized crystal structure of Tl2Te2S3 from the Alexandria database. Energies are from PBE.

Values from the calculation:
The size of the total moment comes out at 0.000 Bohr magnetons per cell. The theoretical density is 5.6 g/cm³.

abc: 13.4923 4.2532 8.1982
angles: 90.00 106.47 90.00
Space group C2/m (No. 12)
Symmetry-distinct sites (fractional):
Tl: 0.1261 0.0000 0.4162 x4
Te: 0.1254 0.5000 0.8897 x4
S: 0.0000 0.5000 0.5000 x2
S: 0.2293 0.5000 0.1675 x4

The winner here is w, beating the second structure by 0.048 eV/atom.

--- w ---
Here is an optimized crystal structure of Tl3TeS from the Alexandria database. Energies are from PBE.

Values from the calculation:
The calculation puts the density of states at the Fermi level at 1.815 states/eV per cell. The size of the total moment comes out at 0.000 Bohr magnetons per cell. The theoretical density is 7.5 g/cm³.

abc: 5.8816 7.0844 8.6695
angles: 87.46 72.27 85.72
Space group P-1 (No. 2)
Symmetry-distinct sites (fractional):
Tl: 0.1772 0.4068 0.1139 x2
Tl: 0.2582 0.7138 0.4478 x2
Tl: 0.2776 0.9725 0.8416 x2
Te: 0.2875 0.2459 0.4571 x2
S: 0.3947 0.7573 0.1158 x2

--- x ---
Here is an optimized crystal structure of Tl3TeS from the Alexandria database. Energies are from PBE.

Values from the calculation:
The calculation puts the density of states at the Fermi level at 12.101 states/eV per cell. The size of the total moment comes out at 0.003 Bohr magnetons per cell. The theoretical density is 5.7 g/cm³.

abc: 6.0833 6.0833 6.0833
angles: 90.00 90.00 90.00
Space group Pm-3m (No. 221)
Symmetry-distinct sites (fractional):
Tl: 0.0000 0.0000 0.5000 x3
Te: 0.0000 0.0000 0.0000 x1
S: 0.5000 0.5000 0.5000 x1

The winner here is w, beating the second structure by 0.638 eV/atom.